Density functional theory data (PBEsol) for PrSbPd after structural relaxation.

```
PrSbPd
1.0
-0.054 2.031 -4.109
1.756 -4.210 0.453
-6.990 -3.068 -1.424
Sb Pr Pd
2 2 2
direct
0.333 0.667 0.275
0.667 0.333 0.775
0.000 0.000 0.009
0.000 0.000 0.509
0.667 0.333 0.207
0.333 0.667 0.707
```

Properties
The value obtained for the volume is 70.66 Å³/f.u. For the density of states at the Fermi level, the calculation gives 0.9 states/eV/cell. For the energy relative to the elements, uncorrected, the calculation gives -1093 meV/atom. The value obtained for the total energy is -6.33 eV/atom. As for the crystal system: hexagonal.